# Y6InCo2

A geometry-optimized Y6InCo2 structure (PBEsol, Alexandria via LeMat-Bulk).

Calculated values
space-group type	No. 71

a = 8.279 Å, b = 8.279 Å, c = 8.279 Å
α = 73.16°, β = 69.89°, γ = 111.50°
Sites, in units of the cell vectors:
Y: 0.697 0.383 0.314
Y: 0.900 0.712 0.812
Y: 0.525 0.712 0.188
Co: 0.500 0.389 0.111
Y: 0.697 0.011 0.686
In: 0.000 0.000 0.000
In: 0.000 0.500 0.500
Co: 0.380 0.000 0.620
Co: 0.620 0.000 0.380
Co: 0.500 0.611 0.889
Y: 0.789 0.769 0.442
Y: 0.789 0.231 0.980
Y: 0.303 0.989 0.314
Y: 0.303 0.617 0.686
Y: 0.211 0.769 0.020
Y: 0.475 0.288 0.812
Y: 0.211 0.231 0.558
Y: 0.100 0.288 0.188



# YInCo2

A geometry-optimized YInCo2 structure (PBEsol, Alexandria via LeMat-Bulk).

Calculated values
space-group type	No. 123

a = 3.224 Å, b = 3.224 Å, c = 6.180 Å
α = 90.00°, β = 90.00°, γ = 90.00°
Sites, in units of the cell vectors:
In: 0.500 0.500 0.000
Y: 0.500 0.500 0.500
Co: 0.000 0.000 0.774
Co: 0.000 0.000 0.226



| no. | formation energy (eV per atom) |
| --- | --- |
| 1 | -0.29 |
| 2 | -0.02 |